Ag2SnS2, optimized geometry, DFT PBE; total magnetic moment = 0.00 μB per formula unit; symmetry = P4/mbm, No. 127; formation energy (no corrections) = 38 meV/atom; offset from the most stable computed form = 0.112 eV/atom; energy = -17.8 eV/f.u.; mass density = 6.53 Mg/m³
1.0
7.6277 0.0000 0.0000
0.0000 7.6277 0.0000
0.0000 0.0000 3.4828
Ag Sn S
4 2 4
direct
0.1312 0.3688 0.0000
0.3688 0.8688 0.0000
0.6312 0.1312 0.0000
0.8688 0.6312 0.0000
0.0000 0.0000 0.5000
0.5000 0.5000 0.5000
0.1761 0.6761 0.5000
0.3239 0.1761 0.5000
0.6761 0.8239 0.5000
0.8239 0.3239 0.5000